(1)
A geometry-optimized KNi2W structure. Source: the Alexandria database, functional PBE.

## Properties
Energy above the most stable polymorph in this dataset (meV per atom): 167.8
Raw total energy (eV/atom): -5.79
Mass density (g/cm³): 7.20

Geometry as POSCAR:
```
KNi2W
1.0
4.3184 -0.0040 0.0367
3.4950 2.5365 0.0367
0.3768 0.1221 7.1623
K Ni W
1 2 1
Direct
0.2500 0.2500 0.2500
0.0095 0.0095 0.8971
0.4905 0.4905 0.6029
0.7500 0.7500 0.7500
```

(2)
A geometry-optimized KNi4W structure. Source: the Alexandria database, functional PBE.

## Properties
Raw total energy (eV/atom): -5.41
Mass density (g/cm³): 9.03

Geometry as POSCAR:
```
KNi4W
1.0
0.0000 3.4777 3.4777
3.4777 0.0000 3.4777
3.4777 3.4777 0.0000
K Ni W
1 4 1
Direct
0.0000 0.0000 0.0000
0.8720 0.3760 0.3760
0.3760 0.3760 0.8720
0.3760 0.8720 0.3760
0.3760 0.3760 0.3760
0.7500 0.7500 0.7500
```